No. 1
Entry from Alexandria via LeMat-Bulk: an optimized crystal structure of YCdRh (PBE).

* ΔE_f: -0.4891 eV/atom
* VASP energy: -5.399 eV/atom
* space group: Amm2 (38)
* size of the total moment: 0.00 Bohr magnetons per cell

abc: 3.840 3.795 9.569
angles: 90.00 90.00 90.00
Fractional positions:
Y  0.000  0.000  0.000
Y  0.000  0.500  0.500
Cd  0.500  0.000  0.294
Cd  0.500  0.500  0.794
Rh  0.500  0.000  0.583
Rh  0.500  0.500  0.083



No. 2
Entry from Alexandria via LeMat-Bulk: an optimized crystal structure of BiSb2S2 (PBE).

* energy relative to the lowest polymorph listed for this composition: 1.10 eV per formula unit
* energy relative to the elements, uncorrected: 193 meV/atom
* VASP energy: -3.883 eV/atom
* space group: I4/mmm (139)
* size of the total moment: 0.00 Bohr magnetons per cell

abc: 4.608 4.608 12.270
angles: 90.00 90.00 90.00
Fractional positions:
Bi  0.000  0.000  0.000
Bi  0.500  0.500  0.500
Sb  0.000  0.000  0.366
Sb  0.000  0.000  0.634
Sb  0.500  0.500  0.134
Sb  0.500  0.500  0.866
S  0.000  0.500  0.250
S  0.000  0.500  0.750
S  0.500  0.000  0.250
S  0.500  0.000  0.750



No. 3
Entry from Alexandria via LeMat-Bulk: an optimized crystal structure of SbAsF3 (PBE).

* energy relative to the lowest polymorph listed for this composition: 0.00 eV per formula unit
* energy relative to the elements, uncorrected: -1139 meV/atom
* VASP energy: -4.016 eV/atom
* space group: Pm-3m (221)
* size of the total moment: 3.00 Bohr magnetons per cell

abc: 4.542 4.542 4.542
angles: 90.00 90.00 90.00
Fractional positions:
Sb  0.000  0.000  0.000
As  0.500  0.500  0.500
F  0.000  0.000  0.500
F  0.000  0.500  0.000
F  0.500  0.000  0.000



No. 4
Entry from Alexandria via LeMat-Bulk: an optimized crystal structure of BaCoPb (PBE).

* ΔE_f: 0.9978 eV/atom
* VASP energy: -3.248 eV/atom
* space group: F-43m (216)
* size of the total moment: 6.05 Bohr magnetons per cell

abc: 7.645 7.645 7.645
angles: 90.00 90.00 90.00
Fractional positions:
Ba  0.000  0.000  0.000
Ba  0.000  0.500  0.500
Ba  0.500  0.000  0.500
Ba  0.500  0.500  0.000
Co  0.250  0.250  0.250
Co  0.250  0.750  0.750
Co  0.750  0.250  0.750
Co  0.750  0.750  0.250
Pb  0.250  0.250  0.750
Pb  0.250  0.750  0.250
Pb  0.750  0.250  0.250
Pb  0.750  0.750  0.750



No. 5
Entry from Alexandria via LeMat-Bulk: an optimized crystal structure of In2TeBr (PBE).

* energy relative to the lowest polymorph listed for this composition: 0.46 eV per formula unit
* energy relative to the elements, uncorrected: -303 meV/atom
* VASP energy: -2.876 eV/atom
* space group: P4/mmm (123)
* size of the total moment: 0.00 Bohr magnetons per cell

abc: 5.506 5.506 3.942
angles: 90.00 90.00 90.00
Fractional positions:
In  0.000  0.500  0.000
In  0.500  0.000  0.000
Te  0.000  0.000  0.500
Br  0.500  0.500  0.500



No. 6
Entry from Alexandria via LeMat-Bulk: an optimized crystal structure of LuMnC2 (PBE).

* ΔE_f: 0.0409 eV/atom
* VASP energy: -7.994 eV/atom
* space group: R-3m (166)
* size of the total moment: 6.32 Bohr magnetons per cell

abc: 3.187 3.187 15.272
angles: 90.00 90.00 120.00
Fractional positions:
Lu  0.000  0.000  0.000
Lu  0.333  0.667  0.667
Lu  0.667  0.333  0.333
Mn  0.000  0.000  0.500
Mn  0.333  0.667  0.167
Mn  0.667  0.333  0.833
C  0.000  0.000  0.234
C  0.000  0.000  0.766
C  0.333  0.667  0.432
C  0.333  0.667  0.901
C  0.667  0.333  0.099
C  0.667  0.333  0.568



No. 7
Entry from Alexandria via LeMat-Bulk: an optimized crystal structure of Zr3WS (PBE).

* energy relative to the lowest polymorph listed for this composition: 0.00 eV per formula unit
* energy relative to the elements, uncorrected: 6 meV/atom
* VASP energy: -8.539 eV/atom
* space group: Pm-3m (221)
* size of the total moment: 0.00 Bohr magnetons per cell

abc: 4.758 4.758 4.758
angles: 90.00 90.00 90.00
Fractional positions:
Zr  0.000  0.000  0.500
Zr  0.000  0.500  0.000
Zr  0.500  0.000  0.000
W  0.500  0.500  0.500
S  0.000  0.000  0.000



No. 8
Entry from Alexandria via LeMat-Bulk: an optimized crystal structure of Sc2CoNi (PBE).

* ΔE_f: -0.0400 eV/atom
* VASP energy: -6.428 eV/atom
* space group: F-43m (216)
* size of the total moment: 0.04 Bohr magnetons per cell

abc: 6.217 6.217 6.217
angles: 90.00 90.00 90.00
Fractional positions:
Sc  0.000  0.000  0.000
Sc  0.000  0.500  0.500
Sc  0.250  0.250  0.250
Sc  0.250  0.750  0.750
Sc  0.500  0.000  0.500
Sc  0.500  0.500  0.000
Sc  0.750  0.250  0.750
Sc  0.750  0.750  0.250
Co  0.000  0.000  0.500
Co  0.000  0.500  0.000
Co  0.500  0.000  0.000
Co  0.500  0.500  0.500
Ni  0.250  0.250  0.750
Ni  0.250  0.750  0.250
Ni  0.750  0.250  0.250
Ni  0.750  0.750  0.750



No. 9
Entry from Alexandria via LeMat-Bulk: an optimized crystal structure of IrSe2Br (PBE).

* energy relative to the lowest polymorph listed for this composition: 2.45 eV per formula unit
* energy relative to the elements, uncorrected: 383 meV/atom
* VASP energy: -3.993 eV/atom
* space group: Immm (71)
* size of the total moment: 0.00 Bohr magnetons per cell

abc: 2.960 5.364 10.893
angles: 90.00 90.00 90.00
Fractional positions:
Ir  0.000  0.000  0.000
Ir  0.500  0.500  0.500
Se  0.000  0.500  0.313
Se  0.000  0.500  0.687
Se  0.500  0.000  0.187
Se  0.500  0.000  0.813
Br  0.000  0.000  0.500
Br  0.500  0.500  0.000



No. 10
Entry from Alexandria via LeMat-Bulk: an optimized crystal structure of Th5Tl2Hg (PBE).

* ΔE_f: 0.1039 eV/atom
* energy relative to the lowest polymorph listed for this composition: 1.18 eV per formula unit
* VASP energy: -5.163 eV/atom
* space group: Cmcm (63)
* size of the total moment: 0.00 Bohr magnetons per cell

abc: 6.828 6.828 13.746
angles: 90.00 90.00 129.37
Fractional positions:
Th  0.065  0.935  0.750
Th  0.119  0.881  0.023
Th  0.119  0.881  0.477
Th  0.419  0.581  0.108
Th  0.419  0.581  0.392
Th  0.581  0.419  0.608
Th  0.581  0.419  0.892
Th  0.881  0.119  0.523
Th  0.881  0.119  0.977
Th  0.935  0.065  0.250
Tl  0.314  0.686  0.636
Tl  0.314  0.686  0.864
Tl  0.686  0.314  0.136
Tl  0.686  0.314  0.364
Hg  0.205  0.795  0.250
Hg  0.795  0.205  0.750



No. 11
Entry from Alexandria via LeMat-Bulk: an optimized crystal structure of Be2SiSb (PBE).

* energy relative to the lowest polymorph listed for this composition: 0.57 eV per formula unit
* energy relative to the elements, uncorrected: 462 meV/atom
* VASP energy: -3.788 eV/atom
* space group: Imm2 (44)
* size of the total moment: 0.00 Bohr magnetons per cell

abc: 3.413 3.466 10.418
angles: 90.00 90.00 90.00
Fractional positions:
Be  0.000  0.000  0.000
Be  0.000  0.500  0.357
Be  0.500  0.000  0.857
Be  0.500  0.500  0.500
Si  0.000  0.000  0.500
Si  0.500  0.500  0.000
Sb  0.000  0.500  0.722
Sb  0.500  0.000  0.222



No. 12
Entry from Alexandria via LeMat-Bulk: an optimized crystal structure of CsZnSn2Hg (PBE).

* ΔE_f: 0.2839 eV/atom
* VASP energy: -1.803 eV/atom
* space group: P4/mmm (123)
* size of the total moment: 0.00 Bohr magnetons per cell

abc: 5.899 5.899 5.162
angles: 90.00 90.00 90.00
Fractional positions:
Cs  0.000  0.000  0.000
Zn  0.500  0.500  0.000
Sn  0.000  0.500  0.500
Sn  0.500  0.000  0.500
Hg  0.500  0.500  0.500



No. 13
Entry from Alexandria via LeMat-Bulk: an optimized crystal structure of Sm2PuNpSb4 (PBE).

* energy relative to the elements, uncorrected: -768 meV/atom
* VASP energy: -7.419 eV/atom
* space group: P2/m (10)
* size of the total moment: 1.43 Bohr magnetons per cell

abc: 7.684 4.437 7.706
angles: 90.00 109.33 90.00
Fractional positions:
Sm  0.000  0.000  0.000
Sm  0.000  0.500  0.500
Pu  0.500  0.000  0.500
Np  0.500  0.500  0.000
Sb  0.255  0.000  0.753
Sb  0.255  0.500  0.250
Sb  0.745  0.000  0.247
Sb  0.745  0.500  0.750



No. 14
Entry from Alexandria via LeMat-Bulk: an optimized crystal structure of PrYThCd (PBE).

* ΔE_f: 0.0858 eV/atom
* VASP energy: -4.809 eV/atom
* space group: F-43m (216)
* size of the total moment: 0.04 Bohr magnetons per cell

abc: 7.850 7.850 7.850
angles: 90.00 90.00 90.00
Fractional positions:
Pr  0.000  0.000  0.000
Pr  0.000  0.500  0.500
Pr  0.500  0.000  0.500
Pr  0.500  0.500  0.000
Y  0.000  0.000  0.500
Y  0.000  0.500  0.000
Y  0.500  0.000  0.000
Y  0.500  0.500  0.500
Th  0.250  0.250  0.250
Th  0.250  0.750  0.750
Th  0.750  0.250  0.750
Th  0.750  0.750  0.250
Cd  0.250  0.250  0.750
Cd  0.250  0.750  0.250
Cd  0.750  0.250  0.250
Cd  0.750  0.750  0.750



No. 15
Entry from Alexandria via LeMat-Bulk: an optimized crystal structure of La2TlTe (PBE).

* energy relative to the lowest polymorph listed for this composition: 0.44 eV per formula unit
* energy relative to the elements, uncorrected: -894 meV/atom
* VASP energy: -4.734 eV/atom
* space group: Pmmm (47)
* size of the total moment: 0.00 Bohr magnetons per cell

abc: 3.825 3.839 8.496
angles: 90.00 90.00 90.00
Fractional positions:
La  0.000  0.000  0.240
La  0.000  0.000  0.760
Tl  0.500  0.500  0.500
Te  0.500  0.500  0.000



No. 16
Entry from Alexandria via LeMat-Bulk: an optimized crystal structure of Pr8Tm2Al (PBE).

* ΔE_f: 0.0310 eV/atom
* VASP energy: -4.598 eV/atom
* space group: C2/m (12)
* size of the total moment: 0.00 Bohr magnetons per cell

abc: 9.405 9.405 8.057
angles: 111.46 111.46 34.46
Fractional positions:
Pr  0.013  0.013  0.263
Pr  0.177  0.177  0.717
Pr  0.341  0.341  0.592
Pr  0.390  0.390  0.076
Pr  0.610  0.610  0.924
Pr  0.659  0.659  0.408
Pr  0.823  0.823  0.283
Pr  0.987  0.987  0.737
Tm  0.193  0.193  0.158
Tm  0.807  0.807  0.842
Al  0.500  0.500  0.500



No. 17
Entry from Alexandria via LeMat-Bulk: an optimized crystal structure of ScOsRu (PBE).

* ΔE_f: -0.0220 eV/atom
* energy relative to the lowest polymorph listed for this composition: 0.95 eV per formula unit
* VASP energy: -8.968 eV/atom
* space group: Imm2 (44)
* size of the total moment: 0.00 Bohr magnetons per cell

abc: 2.903 3.752 8.944
angles: 90.00 90.00 90.00
Fractional positions:
Sc  0.000  0.000  0.000
Sc  0.500  0.500  0.500
Os  0.000  0.000  0.684
Os  0.500  0.500  0.184
Ru  0.000  0.000  0.312
Ru  0.500  0.500  0.812



No. 18
Entry from Alexandria via LeMat-Bulk: an optimized crystal structure of Zn2Sn2Cl7 (PBE).

* energy relative to the elements, uncorrected: -875 meV/atom
* VASP energy: -3.009 eV/atom
* space group: P2_1/c (14)
* size of the total moment: 2.00 Bohr magnetons per cell

abc: 5.981 14.544 8.220
angles: 90.00 93.85 90.00
Fractional positions:
Zn  0.144  0.120  0.352
Zn  0.144  0.380  0.852
Zn  0.856  0.620  0.148
Zn  0.856  0.880  0.648
Sn  0.402  0.659  0.572
Sn  0.402  0.841  0.072
Sn  0.598  0.159  0.928
Sn  0.598  0.341  0.428
Cl  0.000  0.000  0.500
Cl  0.000  0.500  0.000
Cl  0.139  0.716  0.244
Cl  0.139  0.784  0.744
Cl  0.313  0.057  0.138
Cl  0.313  0.443  0.638
Cl  0.386  0.193  0.542
Cl  0.386  0.307  0.042
Cl  0.614  0.693  0.958
Cl  0.614  0.807  0.458
Cl  0.687  0.557  0.362
Cl  0.687  0.943  0.862
Cl  0.861  0.216  0.256
Cl  0.861  0.284  0.756



No. 19
Entry from Alexandria via LeMat-Bulk: an optimized crystal structure of NaCr (PBE).

* ΔE_f: 1.3885 eV/atom
* energy relative to the lowest polymorph listed for this composition: 1.20 eV per formula unit
* VASP energy: -4.083 eV/atom
* space group: P4_2/mnm (136)
* size of the total moment: 0.00 Bohr magnetons per cell

abc: 5.946 5.946 6.140
angles: 90.00 90.00 90.00
Fractional positions:
Na  0.165  0.165  0.000
Na  0.335  0.665  0.500
Na  0.665  0.335  0.500
Na  0.835  0.835  0.000
Cr  0.103  0.103  0.500
Cr  0.397  0.603  0.000
Cr  0.603  0.397  0.000
Cr  0.897  0.897  0.500